Density functional theory data (PBE+U) for a geometry-optimized PrNpMn2O6 structure.

Cell: 6.156 6.156 4.533 Å, 90.00 90.00 90.00°
Space group P4mm (No. 99)
Unique sites:
Pr  0.000  0.000  0.000 x1
Np  0.500  0.500  0.097 x1
Mn  0.000  0.500  0.314 x2
O  0.000  0.000  0.522 x1
O  0.262  0.262  0.151 x4
O  0.500  0.500  0.611 x1

## Properties
- Total DFT energy (no corrections): -8.328 eV per atom